A relaxed KNaCrP2 crystal, computed with PBE-GGA.

Structure (CIF):
```
data_KNaCrP2
_chemical_formula_sum 'K1 Na1 Cr1 P2'
_space_group_name_H-M_alt 'P 1'
_space_group_IT_number 1
_cell_length_a 4.4890
_cell_length_b 4.4890
_cell_length_c 5.3737
_cell_angle_alpha 90.00
_cell_angle_beta 90.00
_cell_angle_gamma 90.00
loop_
_space_group_symop_operation_xyz
'x,y,z'
loop_
_atom_site_label
_atom_site_type_symbol
_atom_site_fract_x
_atom_site_fract_y
_atom_site_fract_z
K1 K 0.0000 0.0000 0.0000
Na1 Na 0.5000 0.5000 0.0000
Cr1 Cr 0.5000 0.5000 0.5000
P1 P 0.0000 0.5000 0.5000
P2 P 0.5000 0.0000 0.5000
```

Values from the calculation:
Its total moment is 0.761 μB/f.u. For the calculated formation energy, the calculation gives 0.05 eV per atom. The total energy comes out at -4.52 eV/atom. Its symmetry is P4/mmm (123).